Model 1:
NaMnSbI2 | PBE-GGA | optimized geometry

Calculated values
N(E_F) = 0.169 states/eV per atom
Magnetic moment = 3.00 Bohr magnetons per cell

Cell: 5.922 5.922 5.118 Å, 90.00 90.00 90.00°
Space group P4/mmm (No. 123)
Unique sites:
Na: 0.000 0.000 0.000 (multiplicity 1)
Mn: 0.500 0.500 0.500 (multiplicity 1)
Sb: 0.500 0.500 0.000 (multiplicity 1)
I: 0.000 0.500 0.500 (multiplicity 2)


Model 2:
NaMnSbI2 | PBE-GGA | optimized geometry

Calculated values
N(E_F) = 0.376 states/eV per atom
Magnetic moment = 3.07 Bohr magnetons per cell

Cell: 5.777 5.777 6.041 Å, 90.00 90.00 90.00°
Space group P4/mmm (No. 123)
Unique sites:
Na: 0.000 0.000 0.000 (multiplicity 1)
Mn: 0.500 0.500 0.500 (multiplicity 1)
Sb: 0.000 0.000 0.500 (multiplicity 1)
I: 0.000 0.500 0.000 (multiplicity 2)


Name the most stable of them. model 1.


Model 1:
NaMnTe2I | PBE-GGA | optimized geometry

Calculated values
N(E_F) = 0.864 states/eV per atom
Magnetic moment = 0.00 Bohr magnetons per cell

Cell: 4.958 4.958 6.212 Å, 90.00 90.00 90.00°
Space group P4/mmm (No. 123)
Unique sites:
Na: 0.000 0.000 0.000 (multiplicity 1)
Mn: 0.500 0.500 0.500 (multiplicity 1)
Te: 0.000 0.500 0.500 (multiplicity 2)
I: 0.500 0.500 0.000 (multiplicity 1)


Model 2:
NaMnTe2I | PBE-GGA | optimized geometry

Calculated values
N(E_F) = 1.151 states/eV per atom
Magnetic moment = 4.88 Bohr magnetons per cell

Cell: 5.516 5.516 5.815 Å, 90.00 90.00 90.00°
Space group P4/mmm (No. 123)
Unique sites:
Na: 0.000 0.000 0.000 (multiplicity 1)
Mn: 0.500 0.500 0.500 (multiplicity 1)
Te: 0.000 0.500 0.000 (multiplicity 2)
I: 0.000 0.000 0.500 (multiplicity 1)


Name the most stable of them. model 1.


Model 1:
MnNbI2 | PBE-GGA | optimized geometry

Calculated values
N(E_F) = 1.530 states/eV per atom
Magnetic moment = 5.47 Bohr magnetons per cell

Cell: 6.178 6.178 11.361 Å, 90.00 90.00 90.00°
Space group I-42d (No. 122)
Unique sites:
Mn: 0.000 0.000 0.000 (multiplicity 4)
Nb: 0.000 0.000 0.500 (multiplicity 4)
I: 0.215 0.250 0.125 (multiplicity 8)


Model 2:
MnNbI2 | PBE-GGA | optimized geometry

Calculated values
N(E_F) = 1.821 states/eV per atom
Magnetic moment = 0.00 Bohr magnetons per cell

Cell: 6.772 6.772 6.772 Å, 90.00 90.00 90.00°
Space group Fm-3m (No. 225)
Unique sites:
Mn: 0.000 0.000 0.000 (multiplicity 4)
Nb: 0.000 0.000 0.500 (multiplicity 4)
I: 0.250 0.250 0.250 (multiplicity 8)


Name the most stable of them. model 2.